A plane-wave DFT calculation with PBE was carried out for a relaxed structure of PrSmOs.

density of states at the Fermi level	1.98	states/eV/cell
relative energy among the computed polymorphs	0.00	eV/f.u.
energy relative to the elements	-0.06	eV/atom
SG	No. 216

Structure (POSCAR):
```
PrSmOs
1.0
4.919 0.000 0.000
2.459 4.260 0.000
2.459 1.420 4.016
Pr Sm Os
1 1 1
direct
0.500 0.500 0.500
0.000 0.000 0.000
0.250 0.250 0.250
```


A plane-wave DFT calculation with PBE was carried out for a relaxed structure of PrSmOs.

density of states at the Fermi level	1.99	states/eV/cell
relative energy among the computed polymorphs	0.06	eV/f.u.
energy relative to the elements	-0.04	eV/atom
SG	No. 107

Structure (POSCAR):
```
PrSmOs
1.0
-1.678 -2.250 2.065
-0.996 -1.824 -2.798
7.097 -1.828 0.836
Os Pr Sm
1 1 1
direct
0.664 0.664 0.329
0.291 0.291 0.582
0.045 0.045 0.089
```


A plane-wave DFT calculation with PBE was carried out for a relaxed structure of PrSm2Os.

density of states at the Fermi level	14.68	states/eV/cell
relative energy among the computed polymorphs	0.00	eV/f.u.
energy relative to the elements	-0.13	eV/atom
SG	No. 62

Structure (POSCAR):
```
PrSm2Os
1.0
6.526 0.000 0.000
0.000 7.501 0.000
0.000 0.000 9.487
Os Pr Sm
4 4 8
direct
0.947 0.614 0.750
0.447 0.886 0.250
0.553 0.114 0.750
0.053 0.386 0.250
0.864 0.041 0.250
0.636 0.541 0.250
0.136 0.959 0.750
0.364 0.459 0.750
0.668 0.825 0.566
0.332 0.175 0.066
0.832 0.325 0.934
0.168 0.675 0.434
0.832 0.325 0.566
0.668 0.825 0.934
0.168 0.675 0.066
0.332 0.175 0.434
```


A plane-wave DFT calculation with PBE was carried out for a relaxed structure of Pr3SmOs.

density of states at the Fermi level	7.34	states/eV/cell
relative energy among the computed polymorphs	0.63	eV/f.u.
energy relative to the elements	0.17	eV/atom
SG	No. 221

Structure (POSCAR):
```
Pr3SmOs
1.0
-0.224 -3.450 4.475
4.666 -2.639 -1.801
3.187 3.621 2.952
Pr Sm Os
3 1 1
direct
0.000 0.500 0.000
0.500 0.000 0.000
0.000 0.000 0.500
0.500 0.500 0.500
0.000 0.000 0.000
```


A plane-wave DFT calculation with PBE was carried out for a relaxed structure of Pr3SmOs.

density of states at the Fermi level	9.43	states/eV/cell
relative energy among the computed polymorphs	0.00	eV/f.u.
energy relative to the elements	0.04	eV/atom
SG	No. 12

Structure (POSCAR):
```
Pr3SmOs
1.0
-6.385 1.446 1.948
-0.295 -2.136 6.757
0.237 6.847 1.835
Pr Os Sm
6 2 2
direct
0.238 0.566 0.065
0.229 0.569 0.569
0.762 0.434 0.935
0.771 0.431 0.431
0.238 0.065 0.566
0.762 0.935 0.434
0.505 0.751 0.751
0.495 0.249 0.249
0.237 0.064 0.064
0.763 0.936 0.936
```


A plane-wave DFT calculation with PBE was carried out for a relaxed structure of Pr2Sm3Os2.

density of states at the Fermi level	5.15	states/eV/cell
energy relative to the elements	-0.11	eV/atom
SG	No. 12

Structure (POSCAR):
```
Pr2Sm3Os2
1.0
-2.966 0.882 2.557
4.482 -3.401 3.221
1.994 8.534 -0.629
Sm Os Pr
3 2 2
direct
0.376 0.752 0.575
0.624 0.248 0.425
0.500 0.000 0.000
0.178 0.356 0.225
0.822 0.644 0.775
0.836 0.671 0.194
0.164 0.329 0.806
```


A plane-wave DFT calculation with PBE was carried out for a relaxed structure of PrSmOs.

density of states at the Fermi level	6.43	states/eV/cell
relative energy among the computed polymorphs	0.17	eV/f.u.
energy relative to the elements	0.00	eV/atom
SG	No. 64

Structure (POSCAR):
```
PrSmOs
1.0
-2.668 5.920 -0.790
-1.554 -5.042 -5.458
-6.029 -2.215 3.763
Pr Sm Os
4 4 4
direct
0.699 0.397 0.893
0.199 0.397 0.607
0.801 0.603 0.393
0.301 0.603 0.107
0.283 0.067 0.250
0.783 0.067 0.250
0.717 0.933 0.750
0.217 0.933 0.750
0.888 0.777 0.046
0.612 0.223 0.546
0.388 0.777 0.454
0.112 0.223 0.954
```


A plane-wave DFT calculation with PBE was carried out for a relaxed structure of PrSmOs.

density of states at the Fermi level	3.43	states/eV/cell
relative energy among the computed polymorphs	0.07	eV/f.u.
energy relative to the elements	-0.04	eV/atom
SG	No. 2

Structure (POSCAR):
```
PrSmOs
1.0
3.499 0.002 0.000
-0.015 6.940 0.035
-1.749 -1.785 6.948
Pr Os Sm
2 2 2
direct
0.564 0.616 0.894
0.313 0.488 0.395
0.939 0.298 0.645
0.939 0.805 0.644
0.561 0.112 0.887
0.317 0.991 0.401
```


Among the records above, which one has the highest density of states at the Fermi level? PrSm2Os